Below is an optimized crystal structure of V3Pd3Pt2, with properties calculated at the PBE level.

The structure belongs to space group Immm (No. 71); the cell edges are 3.878, 3.884 and 15.465 Å and the angles 90.00°, 90.00° and 90.00°. The asymmetric unit holds V at (0.000, 0.000, 0.000), V at (0.000, 0.500, 0.372), Pd at (0.000, 0.000, 0.500), Pd at (0.000, 0.500, 0.119) and Pt at (0.000, 0.000, 0.251).

The formation energy is -0.311 eV per atom. As for the total DFT energy (no corrections): -0.26416 hartree per atom.

Below is an optimized crystal structure of NdSiN2, with properties calculated at the PBE level.

The structure belongs to space group C2/m (No. 12); the cell edges are 11.577, 3.816 and 6.611 Å and the angles 90.00°, 100.94° and 90.00°. The asymmetric unit holds Nd at (0.250, 0.000, 0.250), Si at (0.000, 0.000, 0.500), Si at (0.000, 0.500, 0.000), N at (0.145, 0.000, 0.548) and N at (0.145, 0.500, 0.049).

As for the total DFT energy (no corrections): -0.27107 hartree per atom.

Below is an optimized crystal structure of BaNi2Pt, with properties calculated at the PBE level.

The structure belongs to space group Fm-3m (No. 225); the cell edges are 6.634, 6.634 and 6.634 Å and the angles 90.00°, 90.00° and 90.00°. The asymmetric unit holds Ba at (0.000, 0.000, 0.000), Ni at (0.250, 0.250, 0.250) and Pt at (0.000, 0.000, 0.500).

The formation energy is 0.323 eV per atom. As for the total DFT energy (no corrections): -0.16752 hartree per atom.

Below is an optimized crystal structure of CdPd, with properties calculated at the PBE level.

The structure belongs to space group P4_2/mnm (No. 136); the cell edges are 5.378, 5.378 and 5.464 Å and the angles 90.00°, 90.00° and 90.00°. The asymmetric unit holds Cd at (0.196, 0.196, 0.000) and Pd at (0.191, 0.191, 0.500).

The formation energy is -0.117 eV per atom. As for the total DFT energy (no corrections): -0.11654 hartree per atom.

Below is an optimized crystal structure of Pr3Sm5, with properties calculated at the PBE level.

The structure belongs to space group P4/mmm (No. 123); the cell edges are 3.664, 3.664 and 20.711 Å and the angles 90.00°, 90.00° and 90.00°. The asymmetric unit holds Pr at (0.000, 0.000, 0.000), Pr at (0.500, 0.500, 0.374), Sm at (0.000, 0.000, 0.249), Sm at (0.000, 0.000, 0.500) and Sm at (0.500, 0.500, 0.126).

The formation energy is 0.016 eV per atom. As for the total DFT energy (no corrections): -0.17366 hartree per atom.

Below is an optimized crystal structure of SrNF2, with properties calculated at the PBE level.

The structure belongs to space group Fm-3m (No. 225); the cell edges are 6.099, 6.099 and 6.099 Å and the angles 90.00°, 90.00° and 90.00°. The asymmetric unit holds Sr at (0.000, 0.000, 0.000), N at (0.000, 0.000, 0.500) and F at (0.250, 0.250, 0.250).

As for the relative energy among the computed polymorphs: 0.00 eV per formula unit. As for the total DFT energy (no corrections): -0.18281 hartree per atom.

Below is an optimized crystal structure of NbVRu4, with properties calculated at the PBE level.

The structure belongs to space group Pmma (No. 51); the cell edges are 8.694, 2.760 and 7.376 Å and the angles 90.00°, 90.00° and 90.00°. The asymmetric unit holds Nb at (0.250, 0.000, 0.189), V at (0.250, 0.000, 0.556), Ru at (0.000, 0.000, 0.000), Ru at (0.006, 0.500, 0.330) and Ru at (0.250, 0.500, 0.860).

As for the relative energy among the computed polymorphs: 0.00 eV per formula unit. The formation energy is 0.001 eV per atom. As for the total DFT energy (no corrections): -0.34475 hartree per atom.

Below is an optimized crystal structure of Rb2Na2Au, with properties calculated at the PBE level.

The structure belongs to space group I4_1/amd (No. 141, origin choice 2); the cell edges are 5.444, 5.444 and 34.297 Å and the angles 90.00°, 90.00° and 90.00°. The asymmetric unit holds Rb at (0.000, 0.250, 0.052), Na at (0.000, 0.250, 0.160) and Au at (0.000, 0.250, 0.375).

As for the relative energy among the computed polymorphs: 0.07 eV per formula unit. The formation energy is -0.080 eV per atom. As for the total DFT energy (no corrections): -0.06064 hartree per atom.

Which of these has the highest total DFT energy (no corrections)?
Rb2Na2Au

What is the formula in the seventh record?
NbVRu4